Entry 1:
# NaTlSe2

A geometry-optimized NaTlSe2 structure (PBE, Alexandria).

The calculation puts the raw formation energy at -0.368 eV per atom. Its symmetry is Cmcm.

Cell: 12.060 12.060 5.942 Å, 90.00 90.00 166.11°
Element x y z (fractional)
Na1 0.185 0.815 0.750
Na2 0.815 0.185 0.250
Tl1 0.436 0.564 0.750
Tl2 0.564 0.436 0.250
Se1 0.308 0.692 0.750
Se2 0.429 0.571 0.250
Se3 0.571 0.429 0.750
Se4 0.692 0.308 0.250

Entry 2:
# NaTlSe2

A geometry-optimized NaTlSe2 structure (PBE, Alexandria).

The calculation puts the raw formation energy at -0.527 eV per atom. Its symmetry is I4/mcm.

Cell: 6.559 6.559 6.559 Å, 106.67 106.67 115.22°
Element x y z (fractional)
Na1 0.250 0.250 0.000
Na2 0.750 0.750 0.000
Tl1 0.250 0.750 0.500
Tl2 0.750 0.250 0.500
Se1 0.188 0.688 0.876
Se2 0.312 0.188 0.500
Se3 0.688 0.812 0.500
Se4 0.812 0.312 0.124

Entry 3:
# NaTl3Se3

A geometry-optimized NaTl3Se3 structure (PBE, Alexandria).

The calculation puts the raw formation energy at -0.401 eV per atom. Its symmetry is R-3.

Cell: 7.985 7.985 7.985 Å, 72.07 72.07 72.07°
Element x y z (fractional)
Na1 0.177 0.177 0.177
Na2 0.823 0.823 0.823
Tl1 0.108 0.720 0.404
Tl2 0.280 0.596 0.892
Tl3 0.404 0.108 0.720
Tl4 0.596 0.892 0.280
Tl5 0.720 0.404 0.108
Tl6 0.892 0.280 0.596
Se1 0.047 0.449 0.770
Se2 0.230 0.953 0.551
Se3 0.449 0.770 0.047
Se4 0.551 0.230 0.953
Se5 0.770 0.047 0.449
Se6 0.953 0.551 0.230

Entry 4:
# Na6TlSe4

A geometry-optimized Na6TlSe4 structure (PBE, Alexandria).

The calculation puts the raw formation energy at -0.857 eV per atom. Its symmetry is P-6m2.

Cell: 8.830 8.830 4.130 Å, 90.00 90.00 120.00°
Element x y z (fractional)
Na1 0.200 0.399 0.000
Na2 0.200 0.800 0.000
Na3 0.538 0.076 0.500
Na4 0.538 0.462 0.500
Na5 0.601 0.800 0.000
Na6 0.924 0.462 0.500
Tl1 0.000 0.000 0.500
Se1 0.333 0.667 0.500
Se2 0.339 0.170 0.000
Se3 0.830 0.170 0.000
Se4 0.830 0.661 0.000

Entry 5:
# NaTl5Se4

A geometry-optimized NaTl5Se4 structure (PBE, Alexandria).

The calculation puts the raw formation energy at -0.373 eV per atom. Its symmetry is C2/m.

Cell: 10.079 10.079 8.260 Å, 106.43 106.43 23.64°
Element x y z (fractional)
Na1 0.000 0.000 0.000
Tl1 0.000 0.000 0.500
Tl2 0.313 0.313 0.659
Tl3 0.330 0.330 0.185
Tl4 0.670 0.670 0.815
Tl5 0.687 0.687 0.341
Se1 0.159 0.159 0.067
Se2 0.471 0.471 0.707
Se3 0.529 0.529 0.293
Se4 0.841 0.841 0.933

Entry 6:
# NaTlSe2

A geometry-optimized NaTlSe2 structure (PBE, Alexandria).

The calculation puts the raw formation energy at -0.511 eV per atom. Its symmetry is I4_1/amd.

Cell: 7.227 7.227 7.227 Å, 130.46 130.46 72.68°
Element x y z (fractional)
Na1 0.375 0.625 0.750
Na2 0.625 0.375 0.250
Tl1 0.125 0.875 0.250
Tl2 0.875 0.125 0.750
Se1 0.106 0.356 0.750
Se2 0.356 0.106 0.250
Se3 0.644 0.894 0.750
Se4 0.894 0.644 0.250

Entry 7:
# NaTlSe2

A geometry-optimized NaTlSe2 structure (PBE, Alexandria).

The calculation puts the raw formation energy at -0.536 eV per atom. Its symmetry is P-1.

Cell: 4.845 5.994 8.789 Å, 90.64 100.91 112.68°
Element x y z (fractional)
Na1 0.209 0.211 0.352
Na2 0.791 0.789 0.648
Tl1 0.131 0.342 0.889
Tl2 0.869 0.658 0.111
Se1 0.179 0.678 0.452
Se2 0.442 0.962 0.859
Se3 0.558 0.038 0.141
Se4 0.821 0.322 0.548

Entry 8:
# NaU2Tl2Se6

A geometry-optimized NaU2Tl2Se6 structure (PBE, Alexandria).

The calculation puts the raw formation energy at -0.980 eV per atom. Its symmetry is C2/m.

Cell: 7.295 7.295 8.001 Å, 97.73 97.73 120.54°
Element x y z (fractional)
Na1 0.000 0.000 0.000
U1 0.335 0.665 0.000
U2 0.665 0.335 0.000
Tl1 0.157 0.843 0.500
Tl2 0.843 0.157 0.500
Se1 0.059 0.426 0.205
Se2 0.300 0.300 0.799
Se3 0.426 0.059 0.205
Se4 0.574 0.941 0.795
Se5 0.700 0.700 0.201
Se6 0.941 0.574 0.795

Record order is preserved below.
Total DFT energy (no corrections): -12.127; -12.763; -21.682; -33.646; -30.819; -12.698; -12.800; -60.314 eV/f.u.